Record 1
V4BP: relaxed, PBE-GGA.

Cell: 5.304 5.356 5.410 Å, 90.00 90.94 90.00°
Atoms (fractional coordinates):
V  0.644  0.145  0.881
V  0.856  0.645  0.119
V  0.374  0.375  0.341
V  0.874  0.125  0.341
V  0.126  0.875  0.659
V  0.626  0.625  0.659
V  0.144  0.355  0.881
V  0.356  0.855  0.119
P  0.500  0.000  0.500
P  0.000  0.500  0.500
B  0.500  0.500  0.000
B  0.000  0.000  0.000

formation energy = -135 kJ/mol of formula units
DOS(E_F) = 11.14 states/eV/cell
calculated volume = 12.8 Å³ per atom
SG = P2_1/c
magnetic moment = 0.000 μB per atom

=====

Record 2
Cu2Ni2Ge: relaxed, PBE-GGA.

Cell: 5.960 5.960 3.635 Å, 90.00 90.00 90.00°
Atoms (fractional coordinates):
Cu  0.156  0.656  0.500
Cu  0.656  0.844  0.500
Cu  0.844  0.344  0.500
Cu  0.344  0.156  0.500
Ni  0.359  0.859  0.000
Ni  0.859  0.641  0.000
Ni  0.641  0.141  0.000
Ni  0.141  0.359  0.000
Ge  0.000  0.000  0.000
Ge  0.500  0.500  0.000

formation energy = 8 kJ/mol of formula units
DOS(E_F) = 5.87 states/eV/cell
calculated volume = 12.9 Å³ per atom
SG = P4/mbm
magnetic moment = 0.000 μB per atom

=====

- magnetic moment of number 2 (Cu2Ni2Ge)?
  0.000 μB per atom

=====

- Look up the magnetic moment of the first one.
  0.000 μB per atom